A plane-wave DFT calculation with PBE was carried out for a relaxed La2ZrRh crystal.

The value obtained for the total magnetic moment is 0.00 μB per formula unit. The calculation puts the energy above the most stable polymorph in this dataset at 272 meV/atom. The value obtained for the formation energy is -6 kJ/mol of formula units.

The structure belongs to space group Pmmm (No. 47); the cell edges are 3.5189, 5.0357 and 5.4405 Å and the angles 90.00°, 90.00° and 90.00°. The inequivalent atoms are La at (0.0000, 0.0000, 0.0000), La at (0.5000, 0.0000, 0.5000), Zr at (0.0000, 0.5000, 0.5000) and Rh at (0.5000, 0.5000, 0.0000).